No. 1
# PBE-GGA LiGe2Pd, optimized geometry
# Energy relative to the elements (kcal/mol of atoms): -8.3
# Density of states at the Fermi level (states/eV/atom): 0.27
# Total magnetic moment (μB per atom): 0.00
# Theoretical density (g/cm³): 6.238
# ΔE to the lowest computed polymorph (eV per atom): 0.000
data_LiGe2Pd
_chemical_formula_sum 'Li3 Ge6 Pd3'
_symmetry_space_group_name_H-M 'R 3 m'
_symmetry_Int_Tables_number 160
_symmetry_space_group_name_Hall 'R 3 -2"'
_cell_length_a 4.1910
_cell_length_b 4.1910
_cell_length_c 13.5779
_cell_angle_alpha 90.00
_cell_angle_beta 90.00
_cell_angle_gamma 120.00
loop_
_atom_site_label
_atom_site_fract_x
_atom_site_fract_y
_atom_site_fract_z
Li1 0.0000 0.0000 0.0000
Ge1 0.0000 0.0000 0.5832
Ge2 0.0000 0.0000 0.7841
Pd1 0.0000 0.0000 0.1938

---

No. 2
# PBE-GGA Li3GePd4, optimized geometry
# Energy relative to the elements (kcal/mol of atoms): -5.2
# Density of states at the Fermi level (states/eV/atom): 0.39
# Total magnetic moment (μB per atom): 0.00
# Theoretical density (g/cm³): 5.664
# ΔE to the lowest computed polymorph (eV per atom): 0.339
data_Li3GePd4
_chemical_formula_sum 'Li6 Ge2 Pd8'
_symmetry_space_group_name_H-M 'I m m 2'
_symmetry_Int_Tables_number 44
_cell_length_a 5.302
_cell_length_b 7.312
_cell_length_c 7.853
_cell_angle_alpha 90.00
_cell_angle_beta 90.00
_cell_angle_gamma 90.00
loop_
_symmetry_equiv_pos_as_xyz
'x,y,z'
'-x,-y,z'
'-x,y,z'
'x,-y,z'
'x+1/2,y+1/2,z+1/2'
'-x+1/2,-y+1/2,z+1/2'
'-x+1/2,y+1/2,z+1/2'
'x+1/2,-y+1/2,z+1/2'
loop_
_atom_site_label
_atom_site_fract_x
_atom_site_fract_y
_atom_site_fract_z
Li1 0.000 0.000 0.000
Li2 0.000 0.224 0.350
Ge1 0.000 0.500 0.931
Pd1 0.000 0.314 0.688
Pd2 0.247 0.000 0.678